(1)
DFT (PBE) results for CsYTe2 after structural relaxation.

The density of states at the Fermi level comes out at 0.00 states/eV per cell. The calculation puts the formation energy (no corrections) at -0.94 eV/atom.

a b c (Å): 4.289 25.974 6.186
angles (deg): 90.00 90.00 90.00
Space group Cmcm (No. 63)
Inequivalent atoms, fractional coordinates:
Cs  0.000  0.050  0.250 x4
Y  0.000  0.311  0.250 x4
Te  0.000  0.107  0.750 x4
Te  0.000  0.198  0.250 x4

---

(2)
DFT (PBE) results for Cs2YTe after structural relaxation.

The density of states at the Fermi level comes out at 19.14 states/eV per cell. The energy above the most stable polymorph in this dataset is 0.0 kJ/mol of formula units. The calculation puts the formation energy (no corrections) at -0.24 eV/atom.

a b c (Å): 14.085 14.085 5.875
angles (deg): 90.00 90.00 90.00
Space group I-42d (No. 122)
Inequivalent atoms, fractional coordinates:
Cs  0.104  0.250  0.125 x8
Y  0.000  0.000  0.500 x4
Te  0.000  0.000  0.000 x4

---

(3)
DFT (PBE) results for CsYTe2 after structural relaxation.

The density of states at the Fermi level comes out at 0.27 states/eV per cell. The calculation puts the formation energy (no corrections) at -0.72 eV/atom.

a b c (Å): 5.840 5.840 4.072
angles (deg): 90.00 90.00 90.00
Space group P4/mmm (No. 123)
Inequivalent atoms, fractional coordinates:
Cs  0.000  0.000  0.000 x1
Y  0.500  0.500  0.000 x1
Te  0.000  0.500  0.500 x2

---

(4)
DFT (PBE) results for CsYTe2 after structural relaxation.

The density of states at the Fermi level comes out at 0.00 states/eV per cell. The calculation puts the formation energy (no corrections) at -0.99 eV/atom.

a b c (Å): 5.350 26.462 5.970
angles (deg): 90.00 90.00 90.00
Space group Cmcm (No. 63)
Inequivalent atoms, fractional coordinates:
Cs  0.000  0.180  0.250 x4
Y  0.000  0.435  0.250 x4
Te  0.000  0.328  0.250 x4
Te  0.000  0.448  0.750 x4

---

(5)
DFT (PBE) results for CsYTe2 after structural relaxation.

The density of states at the Fermi level comes out at 0.00 states/eV per cell. The calculation puts the formation energy (no corrections) at -1.24 eV/atom.

a b c (Å): 10.226 12.093 7.804
angles (deg): 90.00 121.66 90.00
Space group C2/c (No. 15)
Inequivalent atoms, fractional coordinates:
Cs  0.000  0.126  0.250 x4
Y  0.000  0.473  0.750 x4
Te  0.195  0.385  0.167 x8

---

(6)
DFT (PBE) results for CsYTe after structural relaxation.

The density of states at the Fermi level comes out at 15.27 states/eV per cell. The calculation puts the formation energy (no corrections) at -0.74 eV/atom.

a b c (Å): 4.9705 4.9705 42.9747
angles (deg): 90.00 90.00 120.00
Space group R-3m (No. 166, hexagonal axes)
Inequivalent atoms, fractional coordinates:
Cs  0.0000  0.0000  0.1110 x6
Y  0.0000  0.0000  0.3092 x6
Te  0.0000  0.0000  0.3824 x6